Entry from Alexandria: a PBEsol-optimized structure of CaFeTc3 (SCAN).

a = 4.4277 Å, b = 4.4277 Å, c = 4.4277 Å
α = 90.00°, β = 90.00°, γ = 90.00°
Closest atoms and distances in Å follow each position.
Positions (direct):
Tc (0.0000, 0.0000, 0.5000)  2 Ca 2.21
Tc (0.5000, 0.0000, 0.0000)  2 Ca 2.21
Fe (0.5000, 0.5000, 0.5000)  12 Tc 3.13
Tc (0.0000, 0.5000, 0.0000)  2 Ca 2.21
Ca (0.0000, 0.0000, 0.0000)  6 Tc 2.21

Calculated values
Energy relative to the elements: 2.80 eV/atom